# 1
# MgIn2Sn2

A relaxed structure of MgIn2Sn2 (PBE, the Alexandria database).

Geometry as POSCAR:
```
MgIn2Sn2
1.0
4.385 0.000 0.000
0.000 4.385 0.000
2.192 2.192 7.562
Mg Sn In
1 2 2
Direct
0.000 0.000 0.000 Mg
0.750 0.250 0.500 Sn
0.250 0.750 0.500 Sn
0.404 0.404 0.193 In
0.596 0.596 0.807 In
```

Symmetry: I4/mmm (139)
Fermi-level density of states: 0.470 states/eV per atom
DFT formation energy: 0.66 eV/f.u.

---

# 2
# MgIn8Sn2

A relaxed structure of MgIn8Sn2 (PBE, the Alexandria database).

Geometry as POSCAR:
```
MgIn8Sn2
1.0
5.267 0.000 0.000
0.000 5.267 0.000
0.000 0.000 10.980
Mg In Sn
1 8 2
Direct
0.000 0.000 0.000 Mg
0.000 0.500 0.500 In
0.500 0.000 0.500 In
0.500 0.500 0.318 In
0.500 0.500 0.682 In
0.000 0.500 0.146 In
0.500 0.000 0.146 In
0.000 0.500 0.854 In
0.500 0.000 0.854 In
0.000 0.000 0.320 Sn
0.000 0.000 0.680 Sn
```

Symmetry: P4/mmm (123)
Fermi-level density of states: 0.419 states/eV per atom
DFT formation energy: 0.45 eV/f.u.
E above lowest polymorph: 0 meV/atom

---

# 3
# Mg2In8Sn

A relaxed structure of Mg2In8Sn (PBE, the Alexandria database).

Geometry as POSCAR:
```
Mg2In8Sn
1.0
4.679 0.000 0.000
0.000 4.679 0.000
0.000 0.000 13.441
Mg In Sn
2 8 1
Direct
0.000 0.000 0.330 Mg
0.000 0.000 0.670 Mg
0.000 0.500 0.500 In
0.500 0.000 0.500 In
0.500 0.500 0.327 In
0.500 0.500 0.673 In
0.000 0.500 0.158 In
0.500 0.000 0.158 In
0.000 0.500 0.842 In
0.500 0.000 0.842 In
0.000 0.000 0.000 Sn
```

Symmetry: P4/mmm (123)
Fermi-level density of states: 0.395 states/eV per atom
DFT formation energy: 0.02 eV/f.u.
E above lowest polymorph: 0 meV/atom

---

# 4
# Mg3In2Sn4

A relaxed structure of Mg3In2Sn4 (PBE, the Alexandria database).

Geometry as POSCAR:
```
Mg3In2Sn4
1.0
4.322 0.000 0.925
1.926 5.246 1.560
0.110 0.087 10.045
Mg In Sn
3 2 4
Direct
0.336 0.766 0.562 Mg
0.000 0.000 0.000 Mg
0.664 0.234 0.438 Mg
0.325 0.122 0.228 In
0.675 0.878 0.772 In
0.658 0.575 0.110 Sn
0.016 0.311 0.657 Sn
0.984 0.689 0.343 Sn
0.342 0.425 0.890 Sn
```

Symmetry: C2/m (12)
Fermi-level density of states: 0.459 states/eV per atom
DFT formation energy: -0.40 eV/f.u.

---

# 5
# MgInSn2

A relaxed structure of MgInSn2 (PBE, the Alexandria database).

Geometry as POSCAR:
```
MgInSn2
1.0
-3.767 -3.685 -0.309
-4.651 0.774 2.374
-4.326 0.884 -2.893
Mg Sn In
1 2 1
Direct
0.000 0.000 0.000 Mg
0.250 0.250 0.250 Sn
0.750 0.750 0.750 Sn
0.500 0.500 0.500 In
```

Symmetry: Fm-3m (225)
Fermi-level density of states: 0.533 states/eV per atom
DFT formation energy: 0.04 eV/f.u.
E above lowest polymorph: 64 meV/atom

---

# 6
# MgIn4Sn5

A relaxed structure of MgIn4Sn5 (PBE, the Alexandria database).

Geometry as POSCAR:
```
MgIn4Sn5
1.0
-2.297 1.605 -2.686
-0.805 -3.523 -1.417
-13.797 -1.285 11.035
Mg In Sn
1 4 5
Direct
0.000 0.000 0.000 Mg
0.000 0.000 0.192 In
0.000 0.000 0.398 In
0.000 0.000 0.602 In
0.000 0.000 0.808 In
0.500 0.500 0.091 Sn
0.500 0.500 0.295 Sn
0.500 0.500 0.500 Sn
0.500 0.500 0.705 Sn
0.500 0.500 0.909 Sn
```

Symmetry: P4/mmm (123)
Fermi-level density of states: 0.432 states/eV per atom
DFT formation energy: 0.22 eV/f.u.

---

# 7
# MgInSn

A relaxed structure of MgInSn (PBE, the Alexandria database).

Geometry as POSCAR:
```
MgInSn
1.0
-0.714 -3.084 -1.239
4.414 -0.112 -2.268
4.051 -2.275 7.996
Mg In Sn
2 2 2
Direct
0.442 0.250 0.883 Mg
0.558 0.750 0.117 Mg
0.786 0.250 0.571 In
0.214 0.750 0.429 In
0.911 0.750 0.822 Sn
0.089 0.250 0.178 Sn
```

Symmetry: Cmcm (63)
Fermi-level density of states: 0.422 states/eV per atom
DFT formation energy: -0.11 eV/f.u.

---

# 8
# MgIn8Sn2

A relaxed structure of MgIn8Sn2 (PBE, the Alexandria database).

Geometry as POSCAR:
```
MgIn8Sn2
1.0
-1.185 -2.859 -4.510
4.567 -6.178 1.700
-4.678 -5.246 3.538
Mg In Sn
1 8 2
Direct
0.000 0.000 0.000 Mg
0.800 0.196 0.644 In
0.200 0.356 0.804 In
0.911 0.251 0.251 In
0.089 0.749 0.749 In
0.800 0.644 0.196 In
0.200 0.804 0.356 In
0.344 0.391 0.391 In
0.656 0.609 0.609 In
0.461 0.130 0.130 Sn
0.539 0.870 0.870 Sn
```

Symmetry: C2/m (12)
Fermi-level density of states: 0.440 states/eV per atom
DFT formation energy: 0.81 eV/f.u.
E above lowest polymorph: 33 meV/atom

---

# 9
# Mg12In6Sn

A relaxed structure of Mg12In6Sn (PBE, the Alexandria database).

Geometry as POSCAR:
```
Mg12In6Sn
1.0
-3.911 3.838 5.881
-5.527 -0.631 -5.801
0.632 -7.513 2.786
Mg In Sn
12 6 1
Direct
0.810 0.435 0.393 Mg
0.393 0.810 0.435 Mg
0.435 0.393 0.810 Mg
0.190 0.565 0.607 Mg
0.607 0.190 0.565 Mg
0.565 0.607 0.190 Mg
0.981 0.744 0.253 Mg
0.256 0.747 0.019 Mg
0.747 0.019 0.256 Mg
0.019 0.256 0.747 Mg
0.744 0.253 0.981 Mg
0.253 0.981 0.744 Mg
0.806 0.849 0.565 In
0.435 0.194 0.151 In
0.151 0.435 0.194 In
0.194 0.151 0.435 In
0.565 0.806 0.849 In
0.849 0.565 0.806 In
0.000 0.000 0.000 Sn
```

Symmetry: R-3 (148)
Fermi-level density of states: 0.456 states/eV per atom
DFT formation energy: 0.26 eV/f.u.
E above lowest polymorph: 19 meV/atom

---

# 10
# MgInSn

A relaxed structure of MgInSn (PBE, the Alexandria database).

Geometry as POSCAR:
```
MgInSn
1.0
5.573 1.142 -0.640
3.865 4.093 -0.647
-2.388 -1.270 8.531
Sn In Mg
2 2 2
Direct
0.026 0.662 0.631 Sn
0.353 0.989 0.802 Sn
0.351 0.989 0.294 In
0.029 0.662 0.139 In
0.693 0.332 0.473 Mg
0.686 0.318 0.960 Mg
```

Symmetry: P-1 (2)
Fermi-level density of states: 0.326 states/eV per atom
DFT formation energy: -0.15 eV/f.u.

---

# 11
# MgInSn2

A relaxed structure of MgInSn2 (PBE, the Alexandria database).

Geometry as POSCAR:
```
MgInSn2
1.0
-3.130 0.924 -1.007
0.566 -0.979 -3.222
-3.007 -8.087 1.931
Mg In Sn
1 1 2
Direct
0.000 0.000 0.000 Mg
0.000 0.000 0.500 In
0.500 0.500 0.229 Sn
0.500 0.500 0.771 Sn
```

Symmetry: Cmmm (65)
Fermi-level density of states: 0.333 states/eV per atom
DFT formation energy: -0.21 eV/f.u.
E above lowest polymorph: 0 meV/atom

---

# 12
# MgIn2Sn

A relaxed structure of MgIn2Sn (PBE, the Alexandria database).

Geometry as POSCAR:
```
MgIn2Sn
1.0
-0.170 4.579 -2.678
-3.504 3.745 1.366
1.669 4.483 2.299
Mg Sn In
1 1 2
Direct
0.500 0.500 0.500 Mg
0.000 0.000 0.000 Sn
0.250 0.250 0.250 In
0.750 0.750 0.750 In
```

Symmetry: Fm-3m (225)
Fermi-level density of states: 0.373 states/eV per atom
DFT formation energy: 0.02 eV/f.u.
E above lowest polymorph: 55 meV/atom